! PBE ScCu3Pd3, optimized geometry; values from VASP
! * energy of formation: -297.6 meV per atom
! * symmetry: Cmmm, No. 65
! * M_tot: 0.00 μB per cell
&SYSTEM
  ibrav = 0, nat = 14, ntyp = 3
/
ATOMIC_SPECIES
Sc 44.96 Sc.upf
Cu 63.55 Cu.upf
Pd 106.42 Pd.upf
CELL_PARAMETERS angstrom
4.2059 -4.4106 0.0000
4.2059 4.4106 0.0000
0.0000 0.0000 5.8509
ATOMIC_POSITIONS crystal
Sc 0.2249 0.2249 0.0000
Sc 0.7751 0.7751 0.0000
Cu 0.2088 0.2088 0.5000
Cu 0.2131 0.7869 0.5000
Cu 0.2552 0.7448 0.0000
Cu 0.7448 0.2552 0.0000
Cu 0.7869 0.2131 0.5000
Cu 0.7912 0.7912 0.5000
Pd 0.0000 0.5000 0.2590
Pd 0.0000 0.5000 0.7410
Pd 0.5000 0.0000 0.2590
Pd 0.5000 0.0000 0.7410
Pd 0.5000 0.5000 0.2663
Pd 0.5000 0.5000 0.7337